{"formula": "PrMgNi4O12", "functional": "GGA+U", "state": "relaxed", "lattice": [[2.203, 1.551, -4.322], [-3.679, -2.630, -2.342], [-4.589, 6.444, -0.027]], "species": ["O", "O", "O", "Ni", "O", "Ni", "O", "Ni", "Pr", "Mg", "O", "O", "Ni", "O", "O", "O", "O", "O"], "fractional_positions": [[0.188, 0.184, 0.243], [0.188, 0.184, 0.757], [0.816, 0.812, 0.757], [0.003, 0.498, 0.234], [0.694, 0.306, 0.307], [0.502, 0.997, 0.766], [0.321, 0.679, 0.828], [0.502, 0.997, 0.234], [0.966, 0.034, 0.500], [0.514, 0.486, 0.000], [0.541, 0.099, 0.000], [0.694, 0.306, 0.693], [0.003, 0.498, 0.766], [0.816, 0.812, 0.243], [0.321, 0.679, 0.172], [0.449, 0.939, 0.500], [0.061, 0.551, 0.500], [0.901, 0.459, 0.000]], "space_group": "Amm2", "magnetic_moment_mub_per_fu": 8.90, "e_tot_ev_per_cell": -88.55}